1.
Compound: PmZr2N3
Source: OQMD
Functional: GGA-PBE
Structure: relaxed

```
PmZr2N3
1.0
-2.4726 1.9777 1.0299
-0.2508 -3.3010 0.3549
3.5578 0.5371 7.5100
Pm N Zr
1 3 2
direct
0.0000 0.0000 0.5000
0.3333 0.6667 0.3061
0.0000 0.0000 0.0000
0.6667 0.3333 0.6939
0.3333 0.6667 0.8396
0.6667 0.3333 0.1604
```

The calculation puts the total energy at -9.420 eV per atom. Its space group is P-3m1 (164).

***

2.
Compound: KAsPd
Source: OQMD
Functional: GGA-PBE
Structure: relaxed

```
KAsPd
1.0
-3.2531 -0.0999 -2.4190
3.6923 -0.6658 -1.5389
-1.1893 -11.3791 2.0695
As K Pd
2 2 2
direct
0.3333 0.6667 0.6974
0.6667 0.3333 0.1974
0.3333 0.6667 0.9904
0.6667 0.3333 0.4904
0.0000 0.0000 0.7573
0.0000 0.0000 0.2573
```

The calculation puts the total energy at -3.942 eV per atom. Its space group is P6_3mc (186).

***

3.
Compound: HfTaPt
Source: OQMD
Functional: GGA-PBE
Structure: relaxed

```
HfTaPt
1.0
-2.7835 -3.4690 0.4576
-0.6824 -1.8015 4.0348
-3.9329 0.5455 2.0557
Hf Ta Pt
1 1 1
direct
0.2500 0.2500 0.2500
0.7500 0.7500 0.7500
0.0000 0.0000 0.0000
```

The calculation puts the total energy at -9.460 eV per atom. Its space group is F-43m (216). The formation energy is -0.172 eV per atom.

***

4.
Compound: AlTcNO
Source: OQMD
Functional: GGA-PBE
Structure: relaxed

```
AlTcNO
1.0
-2.9718 -0.5200 -2.1113
2.1498 -0.1669 -2.9850
0.6581 -7.3557 0.8854
Al N Tc O
2 2 2 2
direct
0.0000 0.0000 0.5000
0.5000 0.5000 0.5000
0.0000 0.5000 0.5664
0.5000 0.0000 0.4336
0.5000 0.0000 0.8836
0.0000 0.5000 0.1164
0.0000 0.0000 0.0000
0.5000 0.5000 0.0000
```

The calculation puts the total energy at -7.028 eV per atom. Its space group is P4/nmm (129).

***

5.
Compound: Y3Ni4B7
Source: OQMD
Functional: GGA-PBE
Structure: relaxed

```
Y3Ni4B7
1.0
7.5131 -9.7072 4.7540
9.8500 -5.5417 6.7486
-10.1987 7.4743 -3.6601
Ni B Y
4 7 3
direct
0.7044 0.2044 0.5000
0.2044 0.7044 0.5000
0.0045 0.5045 0.5000
0.5045 0.0045 0.5000
0.5425 0.5425 0.0000
0.2434 0.2434 0.0000
0.6045 0.6045 0.0000
0.9026 0.9026 0.0000
0.6663 0.6663 0.0000
0.9655 0.9655 0.0000
0.3063 0.3063 0.0000
0.1044 0.1044 0.0000
0.4075 0.4075 0.0000
0.8013 0.8013 0.0000
```

The calculation puts the total energy at -6.632 eV per atom. Its space group is I4/mmm (139).

***

6.
Compound: BeGaHg2
Source: OQMD
Functional: GGA-PBE
Structure: relaxed

```
BeGaHg2
1.0
0.0000 3.4315 3.4315
3.4315 0.0000 3.4315
3.4315 3.4315 0.0000
Ga Be Hg
1 1 2
direct
0.5000 0.5000 0.5000
0.2500 0.2500 0.2500
0.0000 0.0000 0.0000
0.7500 0.7500 0.7500
```

The calculation puts the total energy at -1.318 eV per atom. Its space group is F-43m (216).